1) Computed, not measured: a geometry-optimized Tl6Te3Se structure at the PBE-GGA level of DFT.

a = 7.990 Å, b = 7.990 Å, c = 7.990 Å
α = 63.52°, β = 63.52°, γ = 63.52°
Positions (direct):
Tl 0.001 0.733 0.266
Tl 0.208 0.521 0.768
Tl 0.266 0.001 0.733
Tl 0.521 0.768 0.208
Tl 0.733 0.266 0.001
Tl 0.768 0.208 0.521
Te 0.130 0.130 0.130
Te 0.374 0.374 0.374
Te 0.624 0.624 0.624
Se 0.884 0.884 0.884

Values from the calculation:
* calculated density: 7.21 g cm⁻³
* SG: R3, No. 146


2) Computed, not measured: a geometry-optimized Tl6Te3Se structure at the PBE-GGA level of DFT.

a = 11.948 Å, b = 4.796 Å, c = 13.620 Å
α = 90.00°, β = 100.33°, γ = 90.00°
Positions (direct):
Tl 0.033 0.250 0.388
Tl 0.093 0.250 0.944
Tl 0.280 0.750 0.285
Tl 0.325 0.750 0.737
Tl 0.381 0.750 0.069
Tl 0.394 0.250 0.554
Tl 0.606 0.750 0.446
Tl 0.619 0.250 0.931
Tl 0.675 0.250 0.263
Tl 0.720 0.250 0.715
Tl 0.907 0.750 0.056
Tl 0.967 0.750 0.612
Te 0.050 0.250 0.173
Te 0.165 0.750 0.495
Te 0.347 0.250 0.905
Te 0.653 0.750 0.095
Te 0.835 0.250 0.505
Te 0.950 0.750 0.827
Se 0.447 0.250 0.346
Se 0.553 0.750 0.654

Values from the calculation:
* calculated density: 7.30 g cm⁻³
* SG: P2_1/m, No. 11


So which one wins? Going from most stable to least: 2), 1).


1) Computed, not measured: a geometry-optimized TlTeSe structure at the PBE-GGA level of DFT.

a = 5.653 Å, b = 5.653 Å, c = 3.093 Å
α = 90.00°, β = 90.00°, γ = 120.00°
Positions (direct):
Tl 0.000 0.000 0.000
Te 0.333 0.667 0.500
Se 0.667 0.333 0.500

Values from the calculation:
* calculated density: 7.97 g cm⁻³
* SG: P-6m2, No. 187


2) Computed, not measured: a geometry-optimized TlTeSe structure at the PBE-GGA level of DFT.

a = 9.886 Å, b = 9.886 Å, c = 10.370 Å
α = 109.67°, β = 109.67°, γ = 43.18°
Positions (direct):
Tl 0.068 0.598 0.376
Tl 0.226 0.774 0.750
Tl 0.402 0.932 0.124
Tl 0.598 0.068 0.876
Tl 0.774 0.226 0.250
Tl 0.932 0.402 0.624
Te 0.000 0.500 0.000
Te 0.221 0.643 0.116
Te 0.357 0.779 0.384
Te 0.500 0.000 0.500
Te 0.643 0.221 0.616
Te 0.779 0.357 0.884
Se 0.000 0.000 0.000
Se 0.000 0.000 0.500
Se 0.287 0.385 0.666
Se 0.385 0.287 0.166
Se 0.615 0.713 0.834
Se 0.713 0.615 0.334

Values from the calculation:
* calculated density: 6.33 g cm⁻³
* SG: C2/c, No. 15


3) Computed, not measured: a geometry-optimized TlTeSe structure at the PBE-GGA level of DFT.

a = 6.293 Å, b = 6.293 Å, c = 6.293 Å
α = 146.14°, β = 129.68°, γ = 62.03°
Positions (direct):
Tl 0.000 0.000 0.000
Te 0.359 0.359 0.000
Se 0.590 0.590 0.000

Values from the calculation:
* calculated density: 6.45 g cm⁻³
* SG: Imm2, No. 44


4) Computed, not measured: a geometry-optimized TlTeSe structure at the PBE-GGA level of DFT.

a = 4.358 Å, b = 4.358 Å, c = 5.296 Å
α = 90.00°, β = 90.00°, γ = 120.00°
Positions (direct):
Tl 0.000 0.000 0.000
Te 0.333 0.667 0.652
Se 0.667 0.333 0.304

Values from the calculation:
* calculated density: 7.83 g cm⁻³
* SG: P3m1, No. 156


So which one wins? Going from most stable to least: 2), 3), 4), 1).


1) Computed, not measured: a geometry-optimized TlTeSe structure at the PBE-GGA level of DFT.

a = 4.913 Å, b = 5.977 Å, c = 7.673 Å
α = 97.93°, β = 93.71°, γ = 110.10°
Positions (direct):
Tl 0.084 0.200 0.329
Tl 0.916 0.800 0.671
Te 0.422 0.726 0.997
Te 0.578 0.274 0.003
Se 0.414 0.805 0.335
Se 0.586 0.195 0.665

Values from the calculation:
* calculated density: 6.56 g cm⁻³
* SG: P-1, No. 2


2) Computed, not measured: a geometry-optimized TlTeSe structure at the PBE-GGA level of DFT.

a = 6.677 Å, b = 6.677 Å, c = 6.677 Å
α = 143.91°, β = 143.91°, γ = 51.96°
Positions (direct):
Tl 0.000 0.000 0.000
Te 0.713 0.713 0.000
Se 0.253 0.253 0.000

Values from the calculation:
* calculated density: 6.64 g cm⁻³
* SG: I4mm, No. 107


3) Computed, not measured: a geometry-optimized TlTeSe structure at the PBE-GGA level of DFT.

a = 4.260 Å, b = 6.175 Å, c = 8.431 Å
α = 70.81°, β = 89.89°, γ = 69.85°
Positions (direct):
Tl 0.248 0.001 0.207
Tl 0.752 0.999 0.793
Te 0.000 0.500 0.500
Te 0.500 0.500 0.000
Se 0.400 0.699 0.642
Se 0.600 0.301 0.358

Values from the calculation:
* calculated density: 7.00 g cm⁻³
* SG: P-1, No. 2


So which one wins? Going from most stable to least: 3), 1), 2).


1) Computed, not measured: a geometry-optimized Tl2Te2Se5 structure at the PBE-GGA level of DFT.

a = 8.831 Å, b = 8.831 Å, c = 6.484 Å
α = 105.70°, β = 105.70°, γ = 37.66°
Positions (direct):
Tl 0.060 0.060 0.308
Tl 0.940 0.940 0.692
Te 0.341 0.341 0.091
Te 0.659 0.659 0.909
Se 0.161 0.161 0.960
Se 0.384 0.384 0.492
Se 0.500 0.500 0.000
Se 0.616 0.616 0.508
Se 0.839 0.839 0.040

Values from the calculation:
* calculated density: 5.94 g cm⁻³
* SG: C2/m, No. 12


2) Computed, not measured: a geometry-optimized Tl2Te2Se5 structure at the PBE-GGA level of DFT.

a = 4.300 Å, b = 8.344 Å, c = 8.572 Å
α = 105.10°, β = 101.21°, γ = 102.72°
Positions (direct):
Tl 0.081 0.224 0.369
Tl 0.919 0.776 0.631
Te 0.201 0.735 0.175
Te 0.799 0.265 0.825
Se 0.442 0.456 0.748
Se 0.449 0.142 0.030
Se 0.500 0.000 0.500
Se 0.551 0.858 0.970
Se 0.558 0.544 0.252

Values from the calculation:
* calculated density: 6.30 g cm⁻³
* SG: P-1, No. 2


So which one wins? Going from most stable to least: 2), 1).


1) Computed, not measured: a geometry-optimized TlTe2Se2 structure at the PBE-GGA level of DFT.

a = 8.871 Å, b = 8.871 Å, c = 6.779 Å
α = 104.13°, β = 104.13°, γ = 122.17°
Positions (direct):
Tl 0.128 0.872 0.750
Tl 0.872 0.128 0.250
Te 0.175 0.497 0.009
Te 0.497 0.175 0.509
Te 0.503 0.825 0.491
Te 0.825 0.503 0.991
Se 0.096 0.904 0.250
Se 0.332 0.668 0.750
Se 0.668 0.332 0.250
Se 0.904 0.096 0.750

Values from the calculation:
* calculated density: 5.26 g cm⁻³
* SG: C2/c, No. 15


2) Computed, not measured: a geometry-optimized TlTe2Se2 structure at the PBE-GGA level of DFT.

a = 9.184 Å, b = 9.184 Å, c = 9.184 Å
α = 152.46°, β = 152.46°, γ = 39.34°
Positions (direct):
Tl 0.000 0.000 0.000
Te 0.250 0.750 0.500
Te 0.750 0.250 0.500
Se 0.433 0.433 0.000
Se 0.567 0.567 0.000

Values from the calculation:
* calculated density: 6.20 g cm⁻³
* SG: I4/mmm, No. 139


So which one wins? Going from most stable to least: 1), 2).


1) Computed, not measured: a geometry-optimized TlTe2Se2 structure at the PBE-GGA level of DFT.

a = 6.845 Å, b = 6.845 Å, c = 6.845 Å
α = 131.08°, β = 131.08°, γ = 71.68°
Positions (direct):
Tl 0.000 0.000 0.000
Te 0.306 0.306 0.000
Te 0.694 0.694 0.000
Se 0.250 0.750 0.500
Se 0.750 0.250 0.500

Values from the calculation:
* calculated density: 5.75 g cm⁻³
* SG: I4/mmm, No. 139


2) Computed, not measured: a geometry-optimized TlTe2Se2 structure at the PBE-GGA level of DFT.

a = 9.099 Å, b = 9.099 Å, c = 3.580 Å
α = 90.00°, β = 90.00°, γ = 90.00°
Positions (direct):
Tl 0.000 0.000 0.000
Tl 0.500 0.500 0.000
Te 0.225 0.275 0.500
Te 0.275 0.775 0.500
Te 0.725 0.225 0.500
Te 0.775 0.725 0.500
Se 0.114 0.614 0.000
Se 0.386 0.114 0.000
Se 0.614 0.886 0.000
Se 0.886 0.386 0.000

Values from the calculation:
* calculated density: 6.92 g cm⁻³
* SG: P4/mbm, No. 127


3) Computed, not measured: a geometry-optimized TlTe2Se2 structure at the PBE-GGA level of DFT.

a = 8.783 Å, b = 8.783 Å, c = 3.781 Å
α = 90.00°, β = 90.00°, γ = 90.00°
Positions (direct):
Tl 0.000 0.000 0.000
Tl 0.500 0.500 0.000
Te 0.134 0.366 0.000
Te 0.366 0.866 0.000
Te 0.634 0.134 0.000
Te 0.866 0.634 0.000
Se 0.202 0.702 0.500
Se 0.298 0.202 0.500
Se 0.702 0.798 0.500
Se 0.798 0.298 0.500

Values from the calculation:
* calculated density: 7.03 g cm⁻³
* SG: P4/mbm, No. 127


So which one wins? Going from most stable to least: 1), 2), 3).


1) Computed, not measured: a geometry-optimized Tl2Te2Se structure at the PBE-GGA level of DFT.

a = 8.009 Å, b = 8.009 Å, c = 5.110 Å
α = 90.00°, β = 90.00°, γ = 90.00°
Positions (direct):
Tl 0.148 0.352 0.000
Tl 0.352 0.852 0.000
Tl 0.648 0.148 0.000
Tl 0.852 0.648 0.000
Te 0.174 0.674 0.500
Te 0.326 0.174 0.500
Te 0.674 0.826 0.500
Te 0.826 0.326 0.500
Se 0.000 0.000 0.500
Se 0.500 0.500 0.500

Values from the calculation:
* calculated density: 7.53 g cm⁻³
* SG: P4/mbm, No. 127


2) Computed, not measured: a geometry-optimized Tl2Te2Se structure at the PBE-GGA level of DFT.

a = 6.839 Å, b = 6.839 Å, c = 10.972 Å
α = 101.33°, β = 101.33°, γ = 42.62°
Positions (direct):
Tl 0.040 0.040 0.340
Tl 0.167 0.167 0.080
Tl 0.833 0.833 0.920
Tl 0.960 0.960 0.660
Te 0.343 0.343 0.384
Te 0.453 0.453 0.111
Te 0.547 0.547 0.889
Te 0.657 0.657 0.616
Se 0.238 0.238 0.663
Se 0.762 0.762 0.337

Values from the calculation:
* calculated density: 7.26 g cm⁻³
* SG: C2/m, No. 12


So which one wins? Going from most stable to least: 2), 1).


1) Computed, not measured: a geometry-optimized Tl2Te2Se structure at the PBE-GGA level of DFT.

a = 8.222 Å, b = 8.222 Å, c = 5.423 Å
α = 90.00°, β = 90.00°, γ = 90.00°
Positions (direct):
Tl 0.216 0.284 0.000
Tl 0.284 0.784 0.000
Tl 0.716 0.216 0.000
Tl 0.784 0.716 0.000
Te 0.117 0.617 0.500
Te 0.383 0.117 0.500
Te 0.617 0.883 0.500
Te 0.883 0.383 0.500
Se 0.000 0.000 0.000
Se 0.500 0.500 0.000

Values from the calculation:
* calculated density: 6.73 g cm⁻³
* SG: P4/mbm, No. 127


2) Computed, not measured: a geometry-optimized Tl2Te2Se structure at the PBE-GGA level of DFT.

a = 10.057 Å, b = 10.057 Å, c = 10.057 Å
α = 155.69°, β = 155.69°, γ = 34.64°
Positions (direct):
Tl 0.084 0.084 0.000
Tl 0.916 0.916 0.000
Te 0.250 0.750 0.500
Te 0.750 0.250 0.500
Se 0.500 0.500 0.000

Values from the calculation:
* calculated density: 7.17 g cm⁻³
* SG: I4/mmm, No. 139


So which one wins? Going from most stable to least: 2), 1).


1) Computed, not measured: a geometry-optimized Tl6Te2Se structure at the PBE-GGA level of DFT.

a = 4.915 Å, b = 8.972 Å, c = 8.972 Å
α = 127.18°, β = 90.00°, γ = 90.00°
Positions (direct):
Tl 0.000 0.000 0.000
Tl 0.000 0.517 0.772
Tl 0.000 0.772 0.517
Tl 0.500 0.154 0.759
Tl 0.500 0.335 0.335
Tl 0.500 0.759 0.154
Te 0.000 0.087 0.415
Te 0.000 0.415 0.087
Se 0.500 0.719 0.719

Values from the calculation:
* calculated density: 8.22 g cm⁻³
* SG: Amm2, No. 38


2) Computed, not measured: a geometry-optimized Tl6Te2Se structure at the PBE-GGA level of DFT.

a = 9.294 Å, b = 9.294 Å, c = 8.289 Å
α = 92.32°, β = 92.32°, γ = 28.82°
Positions (direct):
Tl 0.014 0.014 0.253
Tl 0.331 0.331 0.444
Tl 0.342 0.342 0.897
Tl 0.658 0.658 0.103
Tl 0.669 0.669 0.556
Tl 0.986 0.986 0.747
Te 0.163 0.163 0.830
Te 0.837 0.837 0.170
Se 0.500 0.500 0.500

Values from the calculation:
* calculated density: 7.52 g cm⁻³
* SG: C2/m, No. 12


So which one wins? Going from most stable to least: 2), 1).


1) Computed, not measured: a geometry-optimized Tl5Te2Se structure at the PBE-GGA level of DFT.

a = 7.473 Å, b = 7.473 Å, c = 5.334 Å
α = 90.00°, β = 90.00°, γ = 90.00°
Positions (direct):
Tl 0.000 0.000 0.000
Tl 0.281 0.281 0.500
Tl 0.281 0.719 0.500
Tl 0.719 0.281 0.500
Tl 0.719 0.719 0.500
Te 0.000 0.500 0.000
Te 0.500 0.000 0.000
Se 0.000 0.000 0.500

Values from the calculation:
* calculated density: 7.56 g cm⁻³
* SG: P4/mmm, No. 123


2) Computed, not measured: a geometry-optimized Tl5Te2Se structure at the PBE-GGA level of DFT.

a = 8.956 Å, b = 8.956 Å, c = 14.827 Å
α = 90.00°, β = 90.00°, γ = 138.99°
Positions (direct):
Tl 0.052 0.948 0.627
Tl 0.052 0.948 0.873
Tl 0.251 0.749 0.250
Tl 0.296 0.704 0.577
Tl 0.296 0.704 0.923
Tl 0.704 0.296 0.077
Tl 0.704 0.296 0.423
Tl 0.749 0.251 0.750
Tl 0.948 0.052 0.127
Tl 0.948 0.052 0.373
Te 0.144 0.856 0.060
Te 0.144 0.856 0.440
Te 0.856 0.144 0.560
Te 0.856 0.144 0.940
Se 0.202 0.798 0.750
Se 0.798 0.202 0.250

Values from the calculation:
* calculated density: 5.77 g cm⁻³
* SG: Cmcm, No. 63


So which one wins? Going from most stable to least: 2), 1).